The following is a GGA+U calculation of CsMnHF6 after structural relaxation, from the Alexandria database.

Lattice parameters (Å, degrees): 6.0860 6.0431 5.8163 76.76 86.36 46.61
Closest atoms and distances in Å follow each position.
Positions (direct):
F (0.7324, 0.1169, 0.5839)  1 Mn 1.78
F (0.2666, 0.5911, 0.2768)  1 Mn 1.82
F (0.2263, 0.5065, 0.7426)  1 Mn 1.78
F (0.4180, 0.9719, 0.7463)  1 Mn 1.82
F (0.9348, 0.4812, 0.4399)  1 H 1.19
F (0.5071, 0.0150, 0.3028)  1 H 1.13
Cs (0.8414, 0.2739, 0.0051)  7 F 3.01-3.30
Mn (0.3529, 0.2867, 0.5268)  5 F 1.78-1.97
H (0.7201, 0.7569, 0.3755)  2 F 1.13-1.19

Symmetry ... No. 1
Calculated density ... 3.4 g/cm³
Raw total energy ... -0.1765 hartree per atom
N(E_F) ... 0.0 states/eV/cell